Arrangement i

# Sc2HOs | the Alexandria database | PBE-GGA | optimized geometry
# Space-group type   Fm-3m, No. 225
data_Sc2HOs
_symmetry_space_group_name_H-M 'P 1'
_symmetry_Int_Tables_number 1
_cell_length_a 4.4607
_cell_length_b 4.4607
_cell_length_c 4.4607
_cell_angle_alpha 60.00
_cell_angle_beta 60.00
_cell_angle_gamma 60.00
loop_
_symmetry_equiv_pos_as_xyz
'x,y,z'
loop_
_atom_site_label
_atom_site_fract_x
_atom_site_fract_y
_atom_site_fract_z
Sc1 0.2500 0.2500 0.2500
Sc2 0.7500 0.7500 0.7500
H1 0.0000 0.0000 0.0000
Os1 0.5000 0.5000 0.5000



Arrangement ii

# Sc2HOs | the Alexandria database | PBE-GGA | optimized geometry
# Space-group type   P2/m, No. 10
data_Sc2HOs
_symmetry_space_group_name_H-M 'P 1'
_symmetry_Int_Tables_number 1
_cell_length_a 3.0588
_cell_length_b 3.2710
_cell_length_c 6.4734
_cell_angle_alpha 90.24
_cell_angle_beta 90.00
_cell_angle_gamma 90.00
loop_
_symmetry_equiv_pos_as_xyz
'x,y,z'
loop_
_atom_site_label
_atom_site_fract_x
_atom_site_fract_y
_atom_site_fract_z
Sc1 0.0000 0.0022 0.2452
Sc2 0.0000 0.9978 0.7548
H1 0.5000 0.0000 0.5000
Os1 0.5000 0.5000 0.0000



Arrangement iii

# Sc2HOs | the Alexandria database | PBE-GGA | optimized geometry
# Space-group type   R-3m, No. 166
data_Sc2HOs
_symmetry_space_group_name_H-M 'P 1'
_symmetry_Int_Tables_number 1
_cell_length_a 7.8465
_cell_length_b 7.8465
_cell_length_c 7.8465
_cell_angle_alpha 21.85
_cell_angle_beta 21.85
_cell_angle_gamma 21.85
loop_
_symmetry_equiv_pos_as_xyz
'x,y,z'
loop_
_atom_site_label
_atom_site_fract_x
_atom_site_fract_y
_atom_site_fract_z
Os1 0.0000 0.0000 0.0000
Sc1 0.8921 0.8921 0.8921
Sc2 0.1079 0.1079 0.1079
H1 0.5000 0.5000 0.5000



It turns out arrangement ii is the most stable, with the second structure 0.360 eV/atom higher.



Arrangement i

# ScHOs2 | the Alexandria database | PBE-GGA | optimized geometry
# Space-group type   I4_1/amd, No. 141
data_ScHOs2
_symmetry_space_group_name_H-M 'P 1'
_symmetry_Int_Tables_number 1
_cell_length_a 5.4461
_cell_length_b 5.4461
_cell_length_c 5.4415
_cell_angle_alpha 59.97
_cell_angle_beta 59.97
_cell_angle_gamma 90.00
loop_
_symmetry_equiv_pos_as_xyz
'x,y,z'
loop_
_atom_site_label
_atom_site_fract_x
_atom_site_fract_y
_atom_site_fract_z
Os1 0.3752 0.1250 0.2500
Os2 0.3750 0.6248 0.7500
Os3 0.3748 0.6250 0.2500
Os4 0.8750 0.6252 0.7500
Sc1 0.7500 0.2500 0.5000
Sc2 0.0000 0.0000 0.0000
H1 0.2500 0.7500 0.5000
H2 0.5000 0.5000 0.0000



Arrangement ii

# ScHOs2 | the Alexandria database | PBE-GGA | optimized geometry
# Space-group type   Fm-3m, No. 225
data_ScHOs2
_symmetry_space_group_name_H-M 'P 1'
_symmetry_Int_Tables_number 1
_cell_length_a 4.2737
_cell_length_b 4.2737
_cell_length_c 4.2737
_cell_angle_alpha 60.00
_cell_angle_beta 60.00
_cell_angle_gamma 60.00
loop_
_symmetry_equiv_pos_as_xyz
'x,y,z'
loop_
_atom_site_label
_atom_site_fract_x
_atom_site_fract_y
_atom_site_fract_z
Os1 0.7500 0.7500 0.7500
Os2 0.2500 0.2500 0.2500
H1 0.0000 0.0000 0.0000
Sc1 0.5000 0.5000 0.5000



It turns out arrangement i is the most stable, with the second structure 0.820 eV/atom higher.



Arrangement i

# ScH2Os | the Alexandria database | PBE-GGA | optimized geometry
# Space-group type   Fm-3m, No. 225
data_ScH2Os
_symmetry_space_group_name_H-M 'P 1'
_symmetry_Int_Tables_number 1
_cell_length_a 3.8371
_cell_length_b 3.8371
_cell_length_c 3.8371
_cell_angle_alpha 60.00
_cell_angle_beta 60.00
_cell_angle_gamma 60.00
loop_
_symmetry_equiv_pos_as_xyz
'x,y,z'
loop_
_atom_site_label
_atom_site_fract_x
_atom_site_fract_y
_atom_site_fract_z
H1 0.2500 0.2500 0.2500
H2 0.7500 0.7500 0.7500
Os1 0.5000 0.5000 0.5000
Sc1 0.0000 0.0000 0.0000



Arrangement ii

# ScH2Os | the Alexandria database | PBE-GGA | optimized geometry
# Space-group type   I-42d, No. 122
data_ScH2Os
_symmetry_space_group_name_H-M 'P 1'
_symmetry_Int_Tables_number 1
_cell_length_a 4.1645
_cell_length_b 4.1645
_cell_length_c 5.5602
_cell_angle_alpha 68.01
_cell_angle_beta 68.01
_cell_angle_gamma 90.00
loop_
_symmetry_equiv_pos_as_xyz
'x,y,z'
loop_
_atom_site_label
_atom_site_fract_x
_atom_site_fract_y
_atom_site_fract_z
Os1 0.7500 0.2500 0.5000
Os2 0.0000 0.0000 0.0000
H1 0.8750 0.9308 0.7500
H2 0.0692 0.6250 0.2500
H3 0.6808 0.1250 0.2500
H4 0.3750 0.3192 0.7500
Sc1 0.5000 0.5000 0.0000
Sc2 0.2500 0.7500 0.5000



It turns out arrangement ii is the most stable, with the second structure 0.475 eV/atom higher.



Arrangement i

# ScHOs3 | the Alexandria database | PBE-GGA | optimized geometry
# Space-group type   Pm-3m, No. 221
data_ScHOs3
_symmetry_space_group_name_H-M 'P 1'
_symmetry_Int_Tables_number 1
_cell_length_a 4.6789
_cell_length_b 4.6789
_cell_length_c 4.6789
_cell_angle_alpha 90.00
_cell_angle_beta 90.00
_cell_angle_gamma 90.00
loop_
_symmetry_equiv_pos_as_xyz
'x,y,z'
loop_
_atom_site_label
_atom_site_fract_x
_atom_site_fract_y
_atom_site_fract_z
Os1 0.0000 0.0000 0.5000
Os2 0.5000 0.0000 0.0000
Os3 0.0000 0.5000 0.0000
H1 0.5000 0.5000 0.5000
Sc1 0.0000 0.0000 0.0000



Arrangement ii

# ScHOs3 | the Alexandria database | PBE-GGA | optimized geometry
# Space-group type   Pm-3m, No. 221
data_ScHOs3
_symmetry_space_group_name_H-M 'P 1'
_symmetry_Int_Tables_number 1
_cell_length_a 3.9973
_cell_length_b 3.9973
_cell_length_c 3.9973
_cell_angle_alpha 90.00
_cell_angle_beta 90.00
_cell_angle_gamma 90.00
loop_
_symmetry_equiv_pos_as_xyz
'x,y,z'
loop_
_atom_site_label
_atom_site_fract_x
_atom_site_fract_y
_atom_site_fract_z
Os1 0.0000 0.5000 0.0000
Os2 0.0000 0.0000 0.5000
Os3 0.5000 0.0000 0.0000
H1 0.0000 0.0000 0.0000
Sc1 0.5000 0.5000 0.5000



It turns out arrangement ii is the most stable, with the second structure 2.974 eV/atom higher.



Arrangement i

# Sc3HOs | the Alexandria database | PBE-GGA | optimized geometry
# Space-group type   Pm-3m, No. 221
data_Sc3HOs
_symmetry_space_group_name_H-M 'P 1'
_symmetry_Int_Tables_number 1
_cell_length_a 5.0441
_cell_length_b 5.0441
_cell_length_c 5.0441
_cell_angle_alpha 90.00
_cell_angle_beta 90.00
_cell_angle_gamma 90.00
loop_
_symmetry_equiv_pos_as_xyz
'x,y,z'
loop_
_atom_site_label
_atom_site_fract_x
_atom_site_fract_y
_atom_site_fract_z
Sc1 0.0000 0.0000 0.5000
Sc2 0.5000 0.0000 0.0000
Sc3 0.0000 0.5000 0.0000
H1 0.5000 0.5000 0.5000
Os1 0.0000 0.0000 0.0000



Arrangement ii

# Sc3HOs | the Alexandria database | PBE-GGA | optimized geometry
# Space-group type   Pm-3m, No. 221
data_Sc3HOs
_symmetry_space_group_name_H-M 'P 1'
_symmetry_Int_Tables_number 1
_cell_length_a 4.2905
_cell_length_b 4.2905
_cell_length_c 4.2905
_cell_angle_alpha 90.00
_cell_angle_beta 90.00
_cell_angle_gamma 90.00
loop_
_symmetry_equiv_pos_as_xyz
'x,y,z'
loop_
_atom_site_label
_atom_site_fract_x
_atom_site_fract_y
_atom_site_fract_z
Os1 0.5000 0.5000 0.5000
H1 0.0000 0.0000 0.0000
Sc1 0.0000 0.0000 0.5000
Sc2 0.5000 0.0000 0.0000
Sc3 0.0000 0.5000 0.0000



It turns out arrangement ii is the most stable, with the second structure 0.683 eV/atom higher.



Arrangement i

# H2OsSe | the Alexandria database | PBE-GGA | optimized geometry
# Space-group type   Fm-3m, No. 225
data_H2OsSe
_symmetry_space_group_name_H-M 'P 1'
_symmetry_Int_Tables_number 1
_cell_length_a 3.8136
_cell_length_b 3.8136
_cell_length_c 3.8136
_cell_angle_alpha 60.00
_cell_angle_beta 60.00
_cell_angle_gamma 60.00
loop_
_symmetry_equiv_pos_as_xyz
'x,y,z'
loop_
_atom_site_label
_atom_site_fract_x
_atom_site_fract_y
_atom_site_fract_z
Se1 0.0000 0.0000 0.0000
H1 0.2500 0.2500 0.2500
H2 0.7500 0.7500 0.7500
Os1 0.5000 0.5000 0.5000



Arrangement ii

# H2OsSe | the Alexandria database | PBE-GGA | optimized geometry
# Space-group type   I-42d, No. 122
data_H2OsSe
_symmetry_space_group_name_H-M 'P 1'
_symmetry_Int_Tables_number 1
_cell_length_a 5.5029
_cell_length_b 5.5029
_cell_length_c 4.7694
_cell_angle_alpha 54.77
_cell_angle_beta 54.77
_cell_angle_gamma 90.00
loop_
_symmetry_equiv_pos_as_xyz
'x,y,z'
loop_
_atom_site_label
_atom_site_fract_x
_atom_site_fract_y
_atom_site_fract_z
Se1 0.2500 0.7500 0.5000
Se2 0.5000 0.5000 0.0000
H1 0.7278 0.1250 0.2500
H2 0.8750 0.9778 0.7500
H3 0.0222 0.6250 0.2500
H4 0.3750 0.2722 0.7500
Os1 0.0000 0.0000 0.0000
Os2 0.7500 0.2500 0.5000



It turns out arrangement ii is the most stable, with the second structure 0.617 eV/atom higher.